# 1
Below is an optimized crystal structure of Ti2Al5MoPd2, with properties calculated at the PBE level.

Calculated values
Its total moment is 0.05 μB per atom. As for the energy of formation: -4.211 eV per formula unit. The calculation puts the uncorrected energy at -5.993 eV/atom.

Structure (POSCAR):
```
Ti2Al5MoPd2
1.0
-1.131 3.876 0.205
-8.183 -2.249 -2.615
-2.393 -1.147 8.475
Al Pd Mo Ti
10 4 2 4
Direct
0.500 0.500 0.000 Al
0.500 0.701 0.434 Al
0.500 0.066 0.799 Al
0.500 0.566 0.701 Al
0.500 0.434 0.299 Al
0.500 0.799 0.934 Al
0.500 0.299 0.566 Al
0.500 0.201 0.066 Al
0.500 0.000 0.500 Al
0.500 0.934 0.201 Al
0.000 0.877 0.377 Pd
0.000 0.377 0.123 Pd
0.000 0.623 0.877 Pd
0.000 0.123 0.623 Pd
0.000 0.000 0.000 Mo
0.000 0.500 0.500 Mo
0.000 0.824 0.676 Ti
0.000 0.324 0.824 Ti
0.000 0.176 0.324 Ti
0.000 0.676 0.176 Ti
```

# 2
Below is an optimized crystal structure of Al2ZnMoPd, with properties calculated at the PBE level.

Calculated values
Its total moment is 0.24 μB per atom. As for the energy of formation: 3.660 eV per formula unit. The value obtained for the relative energy among the computed polymorphs is 0.0 meV/atom. The calculation puts the uncorrected energy at -4.225 eV/atom.

Structure (POSCAR):
```
Al2ZnMoPd
1.0
4.574 0.000 0.000
0.000 5.010 0.000
0.000 0.000 4.574
Al Zn Pd Mo
2 1 1 1
Direct
0.500 0.000 0.000 Al
0.000 0.000 0.500 Al
0.500 0.500 0.500 Zn
0.000 0.000 0.000 Pd
0.000 0.500 0.000 Mo
```

# 3
Below is an optimized crystal structure of Al2ZnMoPd, with properties calculated at the PBE level.

Calculated values
Its total moment is 0.45 μB per atom. As for the energy of formation: 4.238 eV per formula unit. The value obtained for the relative energy among the computed polymorphs is 115.5 meV/atom. The calculation puts the uncorrected energy at -4.109 eV/atom.

Structure (POSCAR):
```
Al2ZnMoPd
1.0
-2.390 -3.389 -1.763
2.252 -2.952 2.621
-3.100 0.505 3.232
Al Pd Zn Mo
2 1 1 1
Direct
0.500 0.000 0.000 Al
0.000 0.000 0.500 Al
0.000 0.500 0.000 Pd
0.000 0.000 0.000 Zn
0.500 0.500 0.500 Mo
```

# 4
Below is an optimized crystal structure of PmAlMo, with properties calculated at the PBE level.

Calculated values
Its total moment is 0.00 μB per atom. As for the energy of formation: 0.441 eV per formula unit. The calculation puts the uncorrected energy at -6.294 eV/atom.

Structure (POSCAR):
```
PmAlMo
1.0
8.322 0.000 0.000
4.161 7.207 0.000
4.161 2.402 3.232
Mo Al Pm
3 3 3
Direct
0.030 0.030 0.911 Mo
0.553 0.553 0.342 Mo
0.289 0.289 0.132 Mo
0.298 0.622 0.113 Al
0.967 0.298 0.113 Al
0.622 0.967 0.113 Al
0.502 0.091 0.610 Pm
0.091 0.798 0.610 Pm
0.798 0.502 0.610 Pm
```

# 5
Below is an optimized crystal structure of AlMo2Pt, with properties calculated at the PBE level.

Calculated values
Its total moment is 0.00 μB per atom. As for the energy of formation: -1.264 eV per formula unit. The calculation puts the uncorrected energy at -8.177 eV/atom.

Structure (POSCAR):
```
AlMo2Pt
1.0
3.233 0.000 0.000
0.000 3.233 0.000
0.000 0.000 5.956
Al Mo Pt
1 2 1
Direct
0.500 0.500 0.741 Al
0.000 0.000 0.008 Mo
0.500 0.500 0.227 Mo
0.000 0.000 0.524 Pt
```

# 6
Below is an optimized crystal structure of Al2Mo2Pt, with properties calculated at the PBE level.

Calculated values
Its total moment is 0.00 μB per atom. As for the energy of formation: 1.604 eV per formula unit. The value obtained for the relative energy among the computed polymorphs is 535.5 meV/atom. The calculation puts the uncorrected energy at -6.717 eV/atom.

Structure (POSCAR):
```
Al2Mo2Pt
1.0
3.607 0.000 0.000
0.000 3.607 0.000
1.804 1.804 6.482
Pt Al Mo
1 2 2
Direct
0.000 0.000 0.000 Pt
0.250 0.750 0.500 Al
0.750 0.250 0.500 Al
0.406 0.406 0.187 Mo
0.594 0.594 0.813 Mo
```

# 7
Below is an optimized crystal structure of AlMoPt, with properties calculated at the PBE level.

Calculated values
Its total moment is 0.00 μB per atom. As for the energy of formation: -0.905 eV per formula unit. The calculation puts the uncorrected energy at -7.173 eV/atom.

Structure (POSCAR):
```
AlMoPt
1.0
2.832 0.000 0.000
-1.416 2.453 0.000
0.000 0.000 6.633
Pt Al Mo
1 1 1
Direct
0.667 0.333 0.675 Pt
0.000 0.000 0.994 Al
0.333 0.667 0.332 Mo
```

# 8
Below is an optimized crystal structure of AlMo2Pt, with properties calculated at the PBE level.

Calculated values
Its total moment is 0.00 μB per atom. As for the energy of formation: -0.913 eV per formula unit. The calculation puts the uncorrected energy at -8.090 eV/atom.

Structure (POSCAR):
```
AlMo2Pt
1.0
-2.689 -2.056 3.489
2.359 0.177 4.246
-1.008 3.406 -3.318
Mo Pt Al
2 1 1
Direct
0.000 0.000 0.000 Mo
0.250 0.750 0.500 Mo
0.500 0.500 0.000 Pt
0.750 0.250 0.500 Al
```

# 9
Below is an optimized crystal structure of Al2Mo2Pt, with properties calculated at the PBE level.

Calculated values
Its total moment is 0.00 μB per atom. As for the energy of formation: -1.074 eV per formula unit. The value obtained for the relative energy among the computed polymorphs is 0.0 meV/atom. The calculation puts the uncorrected energy at -7.252 eV/atom.

Structure (POSCAR):
```
Al2Mo2Pt
1.0
-0.856 -5.264 -3.688
3.004 -3.617 4.465
-3.178 -0.626 1.632
Mo Pt Al
4 2 4
Direct
0.330 0.170 0.500 Mo
0.830 0.330 0.500 Mo
0.670 0.830 0.500 Mo
0.170 0.670 0.500 Mo
0.000 0.000 0.000 Pt
0.500 0.500 0.000 Pt
0.866 0.634 0.000 Al
0.134 0.366 0.000 Al
0.366 0.866 0.000 Al
0.634 0.134 0.000 Al
```

# 10
Below is an optimized crystal structure of AlMo2Pt, with properties calculated at the PBE level.

Calculated values
Its total moment is 0.00 μB per atom. As for the energy of formation: -1.160 eV per formula unit. The calculation puts the uncorrected energy at -8.151 eV/atom.

Structure (POSCAR):
```
AlMo2Pt
1.0
2.751 0.000 0.000
0.000 4.268 0.000
0.000 0.000 5.238
Mo Al Pt
2 1 1
Direct
0.000 0.000 0.509 Mo
0.000 0.000 0.991 Mo
0.500 0.500 0.750 Al
0.500 0.500 0.250 Pt
```

# 11
Below is an optimized crystal structure of Al4MoPt, with properties calculated at the PBE level.

Calculated values
Its total moment is 0.00 μB per atom. As for the energy of formation: -0.178 eV per formula unit. The calculation puts the uncorrected energy at -5.337 eV/atom.

Structure (POSCAR):
```
Al4MoPt
1.0
0.000 3.564 3.564
3.564 0.000 3.564
3.564 3.564 0.000
Al Mo Pt
4 1 1
Direct
0.875 0.375 0.375 Al
0.375 0.375 0.875 Al
0.375 0.875 0.375 Al
0.375 0.375 0.375 Al
0.750 0.750 0.750 Mo
0.000 0.000 0.000 Pt
```

# 12
Below is an optimized crystal structure of Al2MoPt, with properties calculated at the PBE level.

Calculated values
Its total moment is 0.00 μB per atom. As for the energy of formation: -1.628 eV per formula unit. The value obtained for the relative energy among the computed polymorphs is 183.2 meV/atom. The calculation puts the uncorrected energy at -6.496 eV/atom.

Structure (POSCAR):
```
Al2MoPt
1.0
-2.124 -0.324 -4.642
-3.509 -0.479 3.691
-1.487 2.325 -0.204
Pt Al Mo
1 2 1
Direct
0.000 0.500 0.500 Pt
0.500 0.500 0.000 Al
0.000 0.000 0.000 Al
0.500 0.000 0.500 Mo
```